Material: Mg4Cd3Pb2
Method: DFT, PBE
State: optimized geometry

Properties
Its formation energy from the elements is -0.04 eV per atom. The calculation puts the electronic total energy at -1.8823 eV/atom. As for the total magnetization: 0.00 μB per atom.

Cell lengths 4.643, 5.474, 9.977 Å; angles 73.76, 88.17, 63.66 degrees
Atoms (fractional coordinates):
Pb 0.328 0.349 0.779
Pb 0.672 0.651 0.221
Mg 0.339 0.327 0.109
Mg 0.661 0.673 0.891
Mg 0.010 0.977 0.340
Mg 0.990 0.023 0.660
Cd 0.000 0.000 0.000
Cd 0.665 0.684 0.554
Cd 0.335 0.316 0.446

***

Material: Sm2Dy2Y6Th
Method: DFT, PBE
State: optimized geometry

Properties
Its formation energy from the elements is 0.15 eV per atom. The calculation puts the electronic total energy at -5.7475 eV/atom. As for the total magnetization: 0.00 μB per atom.

Cell lengths 6.656, 6.656, 12.069 Å; angles 101.69, 101.69, 129.22 degrees
Atoms (fractional coordinates):
Y 0.559 0.863 0.212
Y 0.441 0.137 0.788
Y 0.137 0.441 0.788
Y 0.863 0.559 0.212
Y 0.290 0.290 0.290
Y 0.710 0.710 0.710
Sm 0.864 0.136 0.000
Sm 0.136 0.864 0.000
Dy 0.702 0.298 0.500
Dy 0.298 0.702 0.500
Th 0.000 0.000 0.500

***

Material: ZrW
Method: DFT, PBE
State: optimized geometry

Properties
Its formation energy from the elements is 0.13 eV per atom. The calculation puts the electronic total energy at -10.6174 eV/atom. As for the total magnetization: 0.00 μB per atom.

Cell lengths 4.839, 3.241, 9.752 Å; angles 90.00, 90.00, 90.00 degrees
Atoms (fractional coordinates):
Zr 0.000 0.750 0.352
Zr 0.500 0.750 0.648
Zr 0.000 0.250 0.648
Zr 0.500 0.250 0.352
W 0.000 0.750 0.893
W 0.500 0.250 0.893
W 0.500 0.750 0.107
W 0.000 0.250 0.107

***

Material: Sc6Hg2NO
Method: DFT, PBE
State: optimized geometry

Properties
The calculation puts the electronic total energy at -6.4916 eV/atom. The calculation puts the formation energy (no corrections) at -1304 meV/atom. As for the total magnetization: 0.00 μB per atom.

Cell lengths 6.281, 6.281, 8.884 Å; angles 90.00, 90.00, 90.00 degrees
Atoms (fractional coordinates):
O 0.000 0.750 0.500
O 0.500 0.250 0.000
Hg 0.000 0.250 0.250
Hg 0.500 0.750 0.250
Hg 0.000 0.250 0.750
Hg 0.500 0.750 0.750
Sc 0.248 0.998 0.000
Sc 0.252 0.002 0.500
Sc 0.000 0.750 0.752
Sc 0.500 0.250 0.748
Sc 0.000 0.750 0.248
Sc 0.248 0.503 0.000
Sc 0.748 0.002 0.500
Sc 0.752 0.503 0.000
Sc 0.752 0.998 0.000
Sc 0.252 0.497 0.500
Sc 0.748 0.497 0.500
Sc 0.500 0.250 0.252
N 0.500 0.250 0.500
N 0.000 0.750 0.000

***

Material: Pu2BiTe
Method: DFT, PBE
State: optimized geometry

Properties
The calculation puts the electronic total energy at -9.6443 eV/atom. The calculation puts the formation energy (no corrections) at -723 meV/atom. As for the total magnetization: 2.75 μB per atom. The distance to the lowest polymorph of the same formula is 0.0 meV per atom.

Cell lengths 6.360, 6.360, 7.788 Å; angles 114.10, 114.10, 90.00 degrees
Atoms (fractional coordinates):
Pu 0.248 0.248 0.496
Pu 0.502 0.002 0.004
Pu 0.752 0.752 0.504
Pu 0.998 0.498 0.996
Te 0.750 0.250 0.500
Te 0.000 0.000 0.000
Bi 0.500 0.500 0.000
Bi 0.250 0.750 0.500

***

Material: Ba2NaSn4Au3
Method: DFT, PBE
State: optimized geometry

Properties
Its formation energy from the elements is -0.52 eV per atom. The calculation puts the electronic total energy at -3.6170 eV/atom. As for the total magnetization: 0.00 μB per atom.

Cell lengths 4.869, 4.869, 11.807 Å; angles 90.00, 90.00, 90.00 degrees
Atoms (fractional coordinates):
Ba 0.500 0.000 0.250
Ba 0.000 0.500 0.750
Au 0.500 0.000 0.873
Au 0.000 0.500 0.127
Au 0.000 0.000 0.500
Sn 0.000 0.500 0.361
Sn 0.500 0.000 0.639
Sn 0.000 0.000 0.000
Sn 0.500 0.500 0.000
Na 0.500 0.500 0.500

***

Material: Ac2SiS5
Method: DFT, PBE
State: optimized geometry

Properties
The calculation puts the electronic total energy at -5.9414 eV/atom. The calculation puts the formation energy (no corrections) at -1657 meV/atom. As for the total magnetization: 0.00 μB per atom. The distance to the lowest polymorph of the same formula is 0.0 meV per atom.

Cell lengths 8.782, 9.066, 11.700 Å; angles 90.00, 109.92, 90.00 degrees
Atoms (fractional coordinates):
S 0.262 0.957 0.369
S 0.458 0.875 0.122
S 0.238 0.457 0.631
S 0.738 0.043 0.631
S 0.505 0.636 0.892
S 0.042 0.375 0.878
S 0.365 0.569 0.302
S 0.423 0.773 0.594
S 0.577 0.227 0.406
S 0.495 0.364 0.108
S 0.865 0.931 0.302
S 0.077 0.273 0.406
S 0.923 0.727 0.594
S 0.542 0.125 0.878
S 0.005 0.864 0.892
S 0.762 0.543 0.369
S 0.135 0.069 0.698
S 0.958 0.625 0.122
S 0.995 0.136 0.108
S 0.635 0.431 0.698
Ac 0.899 0.335 0.601
Ac 0.761 0.384 0.970
Ac 0.261 0.116 0.970
Ac 0.399 0.165 0.601
Ac 0.239 0.616 0.030
Ac 0.739 0.884 0.030
Ac 0.101 0.665 0.399
Ac 0.601 0.835 0.399
Si 0.547 0.415 0.296
Si 0.047 0.085 0.296
Si 0.453 0.585 0.704
Si 0.953 0.915 0.704

***

Material: Pm2PrRu
Method: DFT, PBE
State: optimized geometry

Properties
Its formation energy from the elements is 0.16 eV per atom. The calculation puts the electronic total energy at -5.7326 eV/atom. As for the total magnetization: 0.00 μB per atom. The distance to the lowest polymorph of the same formula is 356.3 meV per atom.

Cell lengths 3.768, 3.768, 10.880 Å; angles 80.03, 80.03, 60.00 degrees
Atoms (fractional coordinates):
Ru 0.500 0.500 0.500
Pm 0.112 0.112 0.663
Pm 0.888 0.888 0.337
Pr 0.000 0.000 0.000

***

Material: LiBe3Tc
Method: DFT, PBE
State: optimized geometry

Properties
Its formation energy from the elements is 0.72 eV per atom. The calculation puts the electronic total energy at -3.9745 eV/atom. As for the total magnetization: 0.13 μB per atom. The distance to the lowest polymorph of the same formula is 0.0 meV per atom.

Cell lengths 3.675, 3.675, 3.675 Å; angles 90.00, 90.00, 90.00 degrees
Atoms (fractional coordinates):
Be 0.000 0.000 0.500
Be 0.000 0.500 0.000
Be 0.500 0.000 0.000
Tc 0.500 0.500 0.500
Li 0.000 0.000 0.000

***

Material: Ga2TcOs
Method: DFT, PBE
State: optimized geometry

Properties
Its formation energy from the elements is 0.04 eV per atom. The calculation puts the electronic total energy at -6.8731 eV/atom. As for the total magnetization: 0.00 μB per atom. The distance to the lowest polymorph of the same formula is 0.0 meV per atom.

Cell lengths 4.321, 4.321, 4.321 Å; angles 60.00, 60.00, 60.00 degrees
Atoms (fractional coordinates):
Tc 0.000 0.000 0.000
Os 0.500 0.500 0.500
Ga 0.250 0.250 0.250
Ga 0.750 0.750 0.750

***

Material: CuNi2CBr
Method: DFT, PBE
State: optimized geometry

Properties
The calculation puts the electronic total energy at -3.2331 eV/atom. The calculation puts the formation energy (no corrections) at 2078 meV/atom. As for the total magnetization: 0.35 μB per atom.

Cell lengths 4.358, 4.523, 4.358 Å; angles 90.00, 90.00, 90.00 degrees
Atoms (fractional coordinates):
Br 0.000 0.000 0.000
C 0.500 0.500 0.500
Ni 0.000 0.000 0.500
Ni 0.500 0.000 0.000
Cu 0.000 0.500 0.000

***

Among the records above, which one has the highest total magnetization? Pu2BiTe